# 1
Here is a relaxed Ir2PdRh crystal from Alexandria. Energies are from PBE-GGA.

Summary:
ΔE to the lowest computed polymorph = 2.49 eV/f.u.
Electronic total energy = -6.898 eV per atom
Magnetic moment = 0.00 μB/cell
E_form = 0.67 eV/atom

a = 5.604 Å, b = 5.604 Å, c = 5.604 Å
α = 103.29°, β = 103.29°, γ = 122.70°
Fractional positions:
Ir: 0.110 0.125 0.485
Ir: 0.375 0.890 0.015
Ir: 0.640 0.625 0.515
Ir: 0.875 0.360 0.985
Pd: 0.250 0.750 0.500
Pd: 0.500 0.500 0.000
Rh: 0.000 0.000 0.000
Rh: 0.750 0.250 0.500

# 2
Here is a relaxed Sr2Li5Zn12 crystal from Alexandria. Energies are from PBE-GGA.

Summary:
Electronic total energy = -1.675 eV per atom
Magnetic moment = 0.00 μB/cell
E_form = -0.19 eV/atom

a = 6.977 Å, b = 6.977 Å, c = 6.977 Å
α = 84.03°, β = 84.03°, γ = 84.03°
Fractional positions:
Sr: 0.154 0.154 0.154
Sr: 0.846 0.846 0.846
Li: 0.000 0.500 0.500
Li: 0.405 0.405 0.405
Li: 0.500 0.000 0.500
Li: 0.500 0.500 0.000
Li: 0.595 0.595 0.595
Zn: 0.155 0.155 0.651
Zn: 0.155 0.651 0.155
Zn: 0.211 0.500 0.789
Zn: 0.211 0.789 0.500
Zn: 0.349 0.845 0.845
Zn: 0.500 0.211 0.789
Zn: 0.500 0.789 0.211
Zn: 0.651 0.155 0.155
Zn: 0.789 0.211 0.500
Zn: 0.789 0.500 0.211
Zn: 0.845 0.349 0.845
Zn: 0.845 0.845 0.349

# 3
Here is a relaxed Zr4Si6Rh7 crystal from Alexandria. Energies are from PBE-GGA.

Summary:
Electronic total energy = -7.959 eV per atom
ΔE_f (raw) = -1651 kJ/mol of formula units
Magnetic moment = 0.00 μB/cell

a = 7.000 Å, b = 7.000 Å, c = 7.000 Å
α = 109.47°, β = 109.47°, γ = 109.47°
Fractional positions:
Zr: 0.000 0.000 0.500
Zr: 0.000 0.500 0.000
Zr: 0.500 0.000 0.000
Zr: 0.500 0.500 0.500
Si: 0.000 0.320 0.320
Si: 0.000 0.680 0.680
Si: 0.320 0.000 0.320
Si: 0.320 0.320 0.000
Si: 0.680 0.000 0.680
Si: 0.680 0.680 0.000
Rh: 0.000 0.000 0.000
Rh: 0.250 0.500 0.750
Rh: 0.250 0.750 0.500
Rh: 0.500 0.250 0.750
Rh: 0.500 0.750 0.250
Rh: 0.750 0.250 0.500
Rh: 0.750 0.500 0.250

# 4
Here is a relaxed Pr9Sb5O5 crystal from Alexandria. Energies are from PBE-GGA.

Summary:
Electronic total energy = -6.763 eV per atom
ΔE_f (raw) = -3868 kJ/mol of formula units
Magnetic moment = 0.00 μB/cell

a = 10.335 Å, b = 10.335 Å, c = 9.322 Å
α = 90.00°, β = 90.00°, γ = 90.00°
Fractional positions:
Pr: 0.023 0.331 0.001
Pr: 0.046 0.854 0.655
Pr: 0.146 0.546 0.345
Pr: 0.169 0.023 0.001
Pr: 0.250 0.250 0.668
Pr: 0.331 0.477 0.001
Pr: 0.354 0.954 0.345
Pr: 0.454 0.646 0.655
Pr: 0.477 0.169 0.001
Pr: 0.523 0.831 0.999
Pr: 0.546 0.354 0.345
Pr: 0.646 0.046 0.655
Pr: 0.669 0.523 0.999
Pr: 0.750 0.750 0.332
Pr: 0.831 0.977 0.999
Pr: 0.854 0.454 0.655
Pr: 0.954 0.146 0.345
Pr: 0.977 0.669 0.999
Sb: 0.053 0.847 0.300
Sb: 0.153 0.553 0.700
Sb: 0.250 0.250 0.315
Sb: 0.347 0.947 0.700
Sb: 0.447 0.653 0.300
Sb: 0.553 0.347 0.700
Sb: 0.653 0.053 0.300
Sb: 0.750 0.750 0.685
Sb: 0.847 0.447 0.300
Sb: 0.947 0.153 0.700
O: 0.025 0.871 0.910
O: 0.129 0.525 0.090
O: 0.250 0.250 0.933
O: 0.371 0.975 0.090
O: 0.475 0.629 0.910
O: 0.525 0.371 0.090
O: 0.629 0.025 0.910
O: 0.750 0.750 0.067
O: 0.871 0.475 0.910
O: 0.975 0.129 0.090

# 5
Here is a relaxed Li4LaCd5 crystal from Alexandria. Energies are from PBE-GGA.

Summary:
Electronic total energy = -1.974 eV per atom
Magnetic moment = 0.10 μB/cell
E_form = -0.26 eV/atom

a = 3.443 Å, b = 3.443 Å, c = 17.421 Å
α = 90.00°, β = 90.00°, γ = 90.00°
Fractional positions:
Li: 0.000 0.000 0.090
Li: 0.000 0.000 0.273
Li: 0.000 0.000 0.727
Li: 0.000 0.000 0.910
La: 0.000 0.000 0.500
Cd: 0.500 0.500 0.000
Cd: 0.500 0.500 0.181
Cd: 0.500 0.500 0.362
Cd: 0.500 0.500 0.638
Cd: 0.500 0.500 0.819

# 6
Here is a relaxed Ti3PdI crystal from Alexandria. Energies are from PBE-GGA.

Summary:
ΔE to the lowest computed polymorph = 0.00 eV/f.u.
Electronic total energy = -5.579 eV per atom
ΔE_f (raw) = 244 kJ/mol of formula units
Magnetic moment = 2.66 μB/cell

a = 4.888 Å, b = 4.888 Å, c = 4.888 Å
α = 90.00°, β = 90.00°, γ = 90.00°
Fractional positions:
Ti: 0.000 0.000 0.500
Ti: 0.000 0.500 0.000
Ti: 0.500 0.000 0.000
Pd: 0.000 0.000 0.000
I: 0.500 0.500 0.500

# 7
Here is a relaxed YICl2 crystal from Alexandria. Energies are from PBE-GGA.

Summary:
ΔE to the lowest computed polymorph = 2.26 eV/f.u.
Electronic total energy = -4.323 eV per atom
ΔE_f (raw) = -539 kJ/mol of formula units
Magnetic moment = 0.00 μB/cell

a = 9.287 Å, b = 9.287 Å, c = 9.287 Å
α = 143.18°, β = 143.18°, γ = 53.06°
Fractional positions:
Y: 0.000 0.000 0.000
Y: 0.750 0.250 0.500
I: 0.250 0.750 0.500
I: 0.500 0.500 0.000
Cl: 0.375 0.211 0.336
Cl: 0.789 0.125 0.164
Cl: 0.875 0.039 0.664
Cl: 0.961 0.625 0.836

# 8
Here is a relaxed LiAcNi2 crystal from Alexandria. Energies are from PBE-GGA.

Summary:
ΔE to the lowest computed polymorph = 0.00 eV/f.u.
Electronic total energy = -4.513 eV per atom
Magnetic moment = 0.00 μB/cell
E_form = -0.12 eV/atom

a = 5.570 Å, b = 5.570 Å, c = 5.570 Å
α = 44.53°, β = 44.53°, γ = 44.53°
Fractional positions:
Li: 0.000 0.000 0.000
Ac: 0.500 0.500 0.500
Ni: 0.305 0.305 0.305
Ni: 0.695 0.695 0.695